The following is a PBE calculation of crystalline Rb2Na5Ge4 at its relaxed geometry, from the Alexandria database.

## Properties
As for the energy relative to the elements: -48 meV per atom. For the total energy, the calculation gives -0.0920 hartree per atom. The calculation puts the magnetization at 0.00 μB/cell.

a = 14.0976 Å, b = 6.9490 Å, c = 9.4195 Å
α = 90.00°, β = 122.08°, γ = 90.00°
With the nearest neighbours (Å) after each atom.
Space group C2/m (No. 12)
Unique sites:
Rb: 0.2398 0.0000 0.1170 (multiplicity 4)  4 Ge 3.66-3.95
Na: 0.0000 0.5000 0.0000 (multiplicity 2)  2 Ge 2.86
Na: 0.1140 0.2423 0.4040 (multiplicity 8)  4 Ge 2.98-3.17, 1 Na 3.26
Ge: 0.0793 0.0000 0.6579 (multiplicity 4)  2 Ge 2.44-2.60
Ge: 0.2277 0.5000 0.2748 (multiplicity 4)  1 Ge 2.44